5
Lattice="-2.937 -2.497 0.777 1.832 -2.799 -2.069 2.601 -1.648 4.534" Properties=species:S:1:pos:R:3 comment="TaNiSeN2 GGA-PBE optimized geometry" volume_a3_per_cell=84.8 e_form_raw_mev_per_atom=465 pbc="T T T"
Ni 0.748 -3.472 1.621
N 0.916 -1.399 -1.034
N -1.469 -1.249 0.389
Se 1.300 -0.824 2.267
Ta 0.000 0.000 0.000

4
Lattice="-4.408 -0.314 1.690 -1.403 -2.032 -4.036 0.570 -2.447 1.034" Properties=species:S:1:pos:R:3 comment="MgAlRe2 GGA-PBE optimized geometry" volume_a3_per_cell=60.8 delta_e_f_ev_per_atom=0.3733 pbc="T T T"
Al -1.919 -1.380 1.362
Mg -0.416 -2.239 -1.501
Re 0.000 0.000 0.000
Re -2.906 -1.173 -1.173

| no. | polymorph energy (0 for the lowest one) (eV/atom) |
| --- | --- |
| 1 | 0.0000 |
| 2 | 0.4497 |